Material: Ba2NaHg3Sb4
Method: DFT, PBE
State: relaxed

The structure in POSCAR format:
```
Ba2NaHg3Sb4
1.0
4.943 0.000 0.000
0.000 4.943 0.000
0.000 0.000 13.209
Ba Na Hg Sb
2 1 3 4
Cartesian
0.000 2.471 3.214
2.471 0.000 9.995
0.000 0.000 6.605
0.000 2.471 11.405
2.471 0.000 1.804
2.471 2.471 6.605
0.000 0.000 0.000
0.000 2.471 8.588
2.471 0.000 4.622
2.471 2.471 0.000
```

Calculated values
Formation energy (no corrections), eV/atom: -0.448